DFT (PBE) results for crystalline RbBa2Rh2 at its relaxed geometry.

Cell and atoms, written as POSCAR:
```
RbBa2Rh2
1.0
-3.8500 7.6586 -3.7254
3.2830 -2.4379 -8.4045
-2.9693 -1.8026 -0.6370
Rh Ba Rb
4 4 2
Direct
0.1584 0.6584 0.5000
0.6584 0.8416 0.5000
0.8416 0.3416 0.5000
0.3416 0.1584 0.5000
0.3636 0.8636 0.0000
0.8636 0.6364 0.0000
0.6364 0.1364 0.0000
0.1364 0.3636 0.0000
0.0000 0.0000 0.0000
0.5000 0.5000 0.0000
```

Results
- relative energy among the computed polymorphs (kJ/mol of formula units) = 20
- mass density (g/cm³) = 6.09
- energy relative to the elements (eV/f.u.) = 1.08
- electronic total energy (eV/atom) = -3.69
- SG = P4/mbm, No. 127

---

DFT (PBE) results for crystalline MnNiRh4 at its relaxed geometry.

Cell and atoms, written as POSCAR:
```
MnNiRh4
1.0
1.5562 -4.6553 1.3154
-2.5717 -4.0833 -1.5927
2.0336 -3.0806 -3.4925
Mn Ni Rh
1 1 4
Direct
0.7500 0.7500 0.7500
0.0000 0.0000 0.0000
0.8755 0.3748 0.3748
0.3748 0.3748 0.8755
0.3748 0.8755 0.3748
0.3748 0.3748 0.3748
```

Results
- relative energy among the computed polymorphs (kJ/mol of formula units) = 0
- mass density (g/cm³) = 9.40
- energy relative to the elements (eV/f.u.) = 2.31
- electronic total energy (eV/atom) = -7.01
- SG = F-43m, No. 216

---

DFT (PBE) results for crystalline AlTcAg2F at its relaxed geometry.

Cell and atoms, written as POSCAR:
```
AlTcAg2F
1.0
5.0610 0.0000 0.0000
0.0000 3.5278 0.0000
0.0000 0.0000 5.0610
F Tc Ag Al
1 1 2 1
Direct
0.0000 0.5000 0.0000
0.5000 0.5000 0.5000
0.0000 0.0000 0.5000
0.5000 0.0000 0.0000
0.0000 0.0000 0.0000
```

Results
- mass density (g/cm³) = 6.61
- electronic total energy (eV/atom) = -4.20
- SG = P4/mmm, No. 123
- uncorrected formation energy (eV/atom) = 0.14

---

DFT (PBE) results for crystalline BaSc3In at its relaxed geometry.

Cell and atoms, written as POSCAR:
```
BaSc3In
1.0
-3.6898 -3.3808 -2.4334
3.8584 -1.5490 -3.6986
1.5697 -4.1397 3.3712
Sc Ba In
3 1 1
Direct
0.0000 0.5000 0.0000
0.0000 0.0000 0.5000
0.5000 0.0000 0.0000
0.5000 0.5000 0.5000
0.0000 0.0000 0.0000
```

Results
- relative energy among the computed polymorphs (kJ/mol of formula units) = 0
- mass density (g/cm³) = 3.73
- energy relative to the elements (eV/f.u.) = 1.65
- electronic total energy (eV/atom) = -4.40
- SG = Pm-3m, No. 221

---

DFT (PBE) results for crystalline CaMo2Br at its relaxed geometry.

Cell and atoms, written as POSCAR:
```
CaMo2Br
1.0
-6.7916 4.0329 -5.7822
-6.3306 1.4229 -7.3295
-8.2986 1.4839 -4.9754
Mo Ca Br
2 1 1
Direct
0.9907 0.9907 0.9907
0.5093 0.5093 0.5093
0.7500 0.7500 0.7500
0.2500 0.2500 0.2500
```

Results
- relative energy among the computed polymorphs (kJ/mol of formula units) = 363
- mass density (g/cm³) = 6.59
- electronic total energy (eV/atom) = -5.38
- SG = R-3m, No. 166
- uncorrected formation energy (eV/atom) = 0.95

---

DFT (PBE) results for crystalline Co4SbPb at its relaxed geometry.

Cell and atoms, written as POSCAR:
```
Co4SbPb
1.0
-1.2775 2.0903 4.4502
-3.8299 3.3289 0.2364
-4.3603 -1.3008 2.2587
Co Sb Pb
4 1 1
Direct
0.6254 0.6254 0.1238
0.6254 0.1238 0.6254
0.6254 0.6254 0.6254
0.1238 0.6254 0.6254
0.0000 0.0000 0.0000
0.2500 0.2500 0.2500
```

Results
- mass density (g/cm³) = 10.12
- electronic total energy (eV/atom) = -5.66
- SG = F-43m, No. 216
- uncorrected formation energy (eV/atom) = 0.38

---

Question: The highest electronic total energy belongs to which entry?
Answer: RbBa2Rh2

---

Question: Look up the mass density of the fifth one.
Answer: 6.59 g/cm³

---

Question: The highest mass density belongs to which entry?
Answer: Co4SbPb

---

Question: The lowest mass density belongs to which entry?
Answer: BaSc3In